Record 1
TbNdSc2: optimized geometry, PBE.

Results
offset from the most stable computed form: 2.4 kJ per mole of atoms
total magnetic moment: 0.0 μB per formula unit
energy relative to the elements: 79 meV per atom
calculated volume: 461.2 Å³ per cell

Unit cell a=7.726 b=7.726 c=7.726 alpha=90.00 beta=90.00 gamma=90.00
Space group Fm-3m (No. 225)
Unique sites:
Tb: 0.000 0.000 0.000 [4 per cell]
Nd: 0.000 0.000 0.500 [4 per cell]
Sc: 0.250 0.250 0.250 [8 per cell]

***

Record 2
CdCu3Cl8: optimized geometry, PBE.

Results
DFT total energy: -0.2165 Ry per atom
total magnetic moment: 2.9 μB per formula unit
calculated volume: 619.7 Å³ per cell

Unit cell a=14.209 b=6.934 c=7.282 alpha=90.00 beta=120.26 gamma=90.00
Space group C2/m (No. 12)
Unique sites:
Cd: 0.000 0.000 0.000 [2 per cell]
Cu: 0.000 0.500 0.000 [2 per cell]
Cu: 0.250 0.250 0.500 [4 per cell]
Cl: 0.000 0.276 0.230 [8 per cell]
Cl: 0.239 0.000 0.273 [4 per cell]
Cl: 0.243 0.000 0.702 [4 per cell]

***

Record 3
La2SmTm7: optimized geometry, PBE.

Results
offset from the most stable computed form: 0.0 kJ per mole of atoms
total magnetic moment: 0.0 μB per formula unit
energy relative to the elements: 32 meV per atom
calculated volume: 317.1 Å³ per cell

Unit cell a=6.140 b=6.151 c=9.409 alpha=102.51 beta=108.96 gamma=99.57
Space group P-1 (No. 2)
Unique sites:
La: 0.101 0.002 0.201 [2 per cell]
Sm: 0.500 0.500 0.500 [1 per cell]
Tm: 0.104 0.501 0.700 [2 per cell]
Tm: 0.298 0.000 0.600 [2 per cell]
Tm: 0.303 0.501 0.099 [2 per cell]
Tm: 0.500 0.000 0.000 [1 per cell]

***

Record 4
Cr2ReHRh: optimized geometry, PBE.

Results
offset from the most stable computed form: 0.0 kJ per mole of atoms
total magnetic moment: 0.1 μB per formula unit
calculated volume: 54.6 Å³ per cell

Unit cell a=3.835 b=3.835 c=3.712 alpha=90.00 beta=90.00 gamma=90.00
Space group P4/mmm (No. 123)
Unique sites:
Cr: 0.000 0.500 0.000 [2 per cell]
Re: 0.000 0.000 0.500 [1 per cell]
H: 0.500 0.500 0.000 [1 per cell]
Rh: 0.500 0.500 0.500 [1 per cell]

***

Question: Look up the total magnetic moment of the first one.
Answer: 0.0 μB per formula unit

***

Question: Which of these has the highest total magnetic moment?
Answer: CdCu3Cl8

***

Question: Number 2 is which compound?
Answer: CdCu3Cl8